Model 1:
The following is a DFT calculation (PBE-GGA) of an optimized crystal structure of NbCoNi.

Results
As for the crystal system: orthorhombic.

abc: 3.3436 12.2523 3.8442
angles: 90.00 90.00 90.00
Space group Cmcm (No. 63)
Symmetry-distinct sites (fractional):
Nb: 0.0000 0.0970 0.2500 [4 per cell]
Co: 0.0000 0.4248 0.2500 [4 per cell]
Ni: 0.0000 0.2429 0.7500 [4 per cell]

---

Model 2:
The following is a DFT calculation (PBE-GGA) of an optimized crystal structure of NbCoNi.

Results
As for the crystal system: monoclinic.

abc: 4.7520 3.7012 4.9222
angles: 90.00 103.67 90.00
Space group P2_1/m (No. 11)
Symmetry-distinct sites (fractional):
Nb: 0.0788 0.2500 0.2684 [2 per cell]
Co: 0.3619 0.7500 0.5739 [2 per cell]
Ni: 0.4018 0.7500 0.1008 [2 per cell]

---

Which structure is the most stable? The one labeled model 1.

---

Model 1:
The following is a DFT calculation (PBE-GGA) of an optimized crystal structure of NbCoNi.

Results
As for the crystal system: trigonal.

abc: 4.1734 4.1734 2.6299
angles: 90.00 90.00 120.00
Space group P3m1 (No. 156)
Symmetry-distinct sites (fractional):
Nb: 0.0000 0.0000 0.0000 [1 per cell]
Co: 0.6667 0.3333 0.3049 [1 per cell]
Ni: 0.3333 0.6667 0.6470 [1 per cell]

---

Model 2:
The following is a DFT calculation (PBE-GGA) of an optimized crystal structure of NbCoNi.

Results
As for the crystal system: tetragonal.

abc: 3.1613 3.1613 7.9819
angles: 90.00 90.00 90.00
Space group I4mm (No. 107)
Symmetry-distinct sites (fractional):
Nb: 0.0000 0.0000 0.0000 [2 per cell]
Co: 0.0000 0.0000 0.3367 [2 per cell]
Ni: 0.0000 0.0000 0.6684 [2 per cell]

---

Which structure is the most stable? The one labeled model 2.

---

Model 1:
The following is a DFT calculation (PBE-GGA) of an optimized crystal structure of NbZnCoNi.

Results
As for the crystal system: cubic.

abc: 5.9665 5.9665 5.9665
angles: 90.00 90.00 90.00
Space group F-43m (No. 216)
Symmetry-distinct sites (fractional):
Nb: 0.0000 0.0000 0.0000 [4 per cell]
Zn: 0.0000 0.0000 0.5000 [4 per cell]
Co: 0.2500 0.2500 0.2500 [4 per cell]
Ni: 0.2500 0.2500 0.7500 [4 per cell]

---

Model 2:
The following is a DFT calculation (PBE-GGA) of an optimized crystal structure of NbZnCoNi.

Results
As for the crystal system: tetragonal.

abc: 3.8741 3.8741 7.0103
angles: 90.00 90.00 90.00
Space group I-4m2 (No. 119)
Symmetry-distinct sites (fractional):
Nb: 0.0000 0.0000 0.0000 [2 per cell]
Zn: 0.0000 0.0000 0.5000 [2 per cell]
Co: 0.0000 0.5000 0.2500 [2 per cell]
Ni: 0.0000 0.5000 0.7500 [2 per cell]

---

Which structure is the most stable? The one labeled model 2.